BaBrCl: optimized geometry, GGA-PBE.

The structure in extended XYZ format:
```
3
Lattice="4.899 0.000 0.000 -2.450 4.243 0.000 0.000 0.000 6.330" Properties=species:S:1:pos:R:3 pbc="T T T"
Ba 0.000 0.000 0.000
Br 0.000 2.828 1.637
Cl 2.450 1.414 5.038
```

## Properties
uncorrected formation energy: -2.295 eV per atom
calculated volume: 43.9 Å³ per atom
spin magnetization: 0.0 μB/f.u.
theoretical density: 3.2 g/cm3
DFT total energy: -12.3 eV per cell
D(E_F): 0.00 states/eV/f.u.
SG: No. 156
energy above the most stable polymorph in this dataset: 0.099 eV per atom